Material: Rb2ThMo3O12
Method: DFT, PBE with a Hubbard U
State: relaxed

Output
Density: 4.7 g/cm3
Total DFT energy (no corrections): -7.016 eV per atom
Space-group type: R-3m, No. 166

Unit cell a=7.710 b=7.710 c=7.710 alpha=58.20 beta=58.20 gamma=58.20
Sites, in units of the cell vectors:
Rb 0.131 0.131 0.131
Rb 0.869 0.869 0.869
Th 0.500 0.500 0.500
Mo 0.000 0.500 0.500
Mo 0.500 0.000 0.500
Mo 0.500 0.500 0.000
O 0.138 0.580 0.580
O 0.202 0.202 0.566
O 0.202 0.566 0.202
O 0.420 0.420 0.862
O 0.420 0.862 0.420
O 0.434 0.798 0.798
O 0.566 0.202 0.202
O 0.580 0.138 0.580
O 0.580 0.580 0.138
O 0.798 0.434 0.798
O 0.798 0.798 0.434
O 0.862 0.420 0.420